Li4Ni3Sb5O16 | PBEsol | optimized geometry

Properties
Its spin magnetization is 5.719 μB per cell.

Structure (POSCAR):
```
Li4Ni3Sb5O16
1.0
6.0634 -0.0320 0.0257
2.9876 5.2764 0.0257
-0.0017 -0.0010 10.1638
Li Sb O Ni
4 5 16 3
direct
0.3236 0.3236 0.3898 Li
0.9947 0.9947 0.5052 Li
0.9873 0.9873 0.9867 Li
0.6673 0.6673 0.8913 Li
0.8304 0.3344 0.2122 Sb
0.6788 0.6788 0.5161 Sb
0.1720 0.1720 0.7214 Sb
0.3486 0.3486 0.9770 Sb
0.3344 0.8304 0.2122 Sb
0.5003 0.9762 0.3166 O
0.8451 0.8451 0.6115 O
0.6602 0.6602 0.1020 O
0.6953 0.1568 0.0991 O
0.3329 0.3329 0.6169 O
0.9762 0.5003 0.3166 O
0.1494 0.1494 0.0972 O
0.0034 0.0034 0.8118 O
0.5001 0.5001 0.3125 O
0.9991 0.9991 0.3159 O
0.4796 0.0361 0.8436 O
0.1568 0.6953 0.0991 O
0.4871 0.4871 0.8385 O
0.8549 0.3180 0.6107 O
0.0361 0.4796 0.8436 O
0.3180 0.8549 0.6107 O
0.6666 0.1717 0.7198 Ni
0.1717 0.6666 0.7198 Ni
0.8295 0.8295 0.2100 Ni
```

***

Li4Ni3Sn3Sb2O16 | PBEsol | optimized geometry

Properties
Its spin magnetization is 5.891 μB per cell.

Structure (POSCAR):
```
Li4Ni3Sn3Sb2O16
1.0
6.0664 0.0127 0.0025
3.0070 5.2687 0.0025
-0.0145 -0.0084 9.6015
O Sn Li Sb Ni
16 3 4 2 3
direct
0.1654 0.1654 0.5984 O
0.6639 0.1656 0.5913 O
0.4791 0.4791 0.3453 O
0.5138 0.5138 0.8433 O
0.3269 0.8323 0.0954 O
0.3270 0.3270 0.0979 O
0.4773 0.0357 0.3471 O
0.9971 0.9971 0.3097 O
0.5070 0.9626 0.8562 O
0.8323 0.3269 0.0954 O
0.9985 0.9985 0.8050 O
0.9626 0.5070 0.8562 O
0.0357 0.4773 0.3471 O
0.6640 0.6640 0.6100 O
0.1656 0.6639 0.5913 O
0.8169 0.8169 0.1017 O
0.6583 0.1618 0.2088 Sn
0.8276 0.8276 0.7165 Sn
0.1618 0.6583 0.2088 Sn
0.0981 0.0981 0.9583 Li
0.0102 0.0102 0.4995 Li
0.3394 0.3394 0.8902 Li
0.6639 0.6639 0.4113 Li
0.6533 0.6533 0.9827 Sb
0.3255 0.3255 0.4946 Sb
0.1667 0.1667 0.2193 Ni
0.3372 0.8253 0.7131 Ni
0.8253 0.3372 0.7131 Ni
```

***

Li4Ti2Ni3Sb3O16 | PBEsol | optimized geometry

Properties
Its spin magnetization is 5.382 μB per cell.

Structure (POSCAR):
```
Li4Ti2Ni3Sb3O16
1.0
-0.2140 5.7134 1.9125
-3.6176 3.9675 -2.7421
-7.0059 -2.3792 6.0154
O Sb Ni Ti Li
16 3 3 2 4
direct
0.3363 0.3363 0.6077 O
0.0055 0.0055 0.8019 O
0.3385 0.8458 0.5933 O
0.8272 0.8272 0.5932 O
0.6613 0.6613 0.1004 O
0.1532 0.1532 0.0994 O
0.9958 0.9958 0.3175 O
0.6664 0.1738 0.0956 O
0.4785 0.0450 0.8489 O
0.4932 0.4932 0.8491 O
0.9546 0.5089 0.3432 O
0.1738 0.6664 0.0956 O
0.8458 0.3385 0.5933 O
0.5089 0.9546 0.3432 O
0.0450 0.4785 0.8489 O
0.5092 0.5092 0.3377 O
0.8290 0.3340 0.2148 Sb
0.1755 0.1755 0.7151 Sb
0.3340 0.8290 0.2148 Sb
0.8269 0.8269 0.2152 Ni
0.1759 0.6657 0.7123 Ni
0.6657 0.1759 0.7123 Ni
0.3629 0.3629 0.9682 Ti
0.6772 0.6772 0.5051 Ti
0.9697 0.9697 0.9829 Li
0.9883 0.9883 0.5067 Li
0.3257 0.3257 0.4032 Li
0.6762 0.6762 0.8882 Li
```

***

Li4V3Ni3Sb2O16 | PBEsol | optimized geometry

Properties
Its spin magnetization is 9.060 μB per cell.

Structure (POSCAR):
```
Li4V3Ni3Sb2O16
1.0
5.7709 0.0000 0.0000
-2.8854 5.0378 0.0182
0.0000 -0.0576 9.6208
O V Li Ni Sb
16 3 4 3 2
direct
0.8308 0.1552 0.9014 O
0.4921 0.5284 0.6589 O
0.1581 0.3163 0.4088 O
0.9908 0.9817 0.2023 O
0.5278 0.4994 0.1510 O
0.6688 0.8272 0.4007 O
0.1584 0.8272 0.4007 O
0.5212 0.0424 0.1575 O
0.9716 0.4994 0.1510 O
0.6838 0.3676 0.3966 O
0.4828 0.9656 0.6540 O
0.3435 0.6869 0.9025 O
0.0363 0.5284 0.6589 O
0.3243 0.1552 0.9014 O
0.8335 0.6669 0.8980 O
0.9929 0.9858 0.7006 O
0.8242 0.6483 0.2782 V
0.6449 0.8209 0.7840 V
0.1760 0.8209 0.7840 V
0.3403 0.6807 0.1063 Li
0.6671 0.3342 0.5963 Li
0.0000 0.0000 0.0126 Li
0.9969 0.9937 0.5079 Li
0.3463 0.1790 0.2868 Ni
0.8327 0.1790 0.2868 Ni
0.1733 0.3466 0.7888 Ni
0.3292 0.6585 0.5040 Sb
0.6627 0.3254 0.0110 Sb
```

***

Li4V2Ni3Sb3O16 | PBEsol | optimized geometry

Properties
Its spin magnetization is 4.930 μB per cell.

Structure (POSCAR):
```
Li4V2Ni3Sb3O16
1.0
-5.1513 -0.6655 -3.0112
-3.1265 -5.1062 0.4448
-4.8967 3.4293 7.2751
O Ni Li Sb V
16 3 4 3 2
direct
0.4813 0.0394 0.3446 O
0.9537 0.5145 0.8562 O
0.5122 0.5122 0.8572 O
0.8263 0.8263 0.1052 O
0.9927 0.9927 0.3181 O
0.4795 0.4795 0.3378 O
0.0394 0.4813 0.3446 O
0.5145 0.9537 0.8562 O
0.6592 0.6592 0.6097 O
0.1721 0.1721 0.5935 O
0.8248 0.3227 0.0975 O
0.9930 0.9930 0.8049 O
0.3301 0.3301 0.0965 O
0.1527 0.6559 0.5950 O
0.3227 0.8248 0.0975 O
0.6559 0.1527 0.5950 O
0.8244 0.3269 0.7074 Ni
0.3269 0.8244 0.7074 Ni
0.1651 0.1651 0.2192 Ni
0.3307 0.3307 0.8807 Li
0.0894 0.0894 0.9624 Li
0.0069 0.0069 0.5072 Li
0.6662 0.6662 0.4032 Li
0.8214 0.8214 0.7182 Sb
0.1609 0.6590 0.2110 Sb
0.6590 0.1609 0.2110 Sb
0.3183 0.3183 0.5013 V
0.6366 0.6366 0.9718 V
```

***

Li3SiNiO5 | PBEsol | optimized geometry

Properties
Its spin magnetization is 2.000 μB per cell.

Structure (POSCAR):
```
Li3SiNiO5
1.0
4.9594 -0.0015 0.0025
-1.7732 5.3853 0.0115
-0.7045 -1.9588 5.8740
O Ni Li Si
10 2 6 2
direct
0.3381 0.8660 0.5876 O
0.1220 0.9181 0.2059 O
0.6700 0.6660 0.3734 O
0.4833 0.7436 0.0229 O
0.8780 0.0819 0.7941 O
0.8738 0.5227 0.7988 O
0.1262 0.4773 0.2012 O
0.5167 0.2564 0.9771 O
0.6619 0.1340 0.4124 O
0.3300 0.3340 0.6266 O
0.2003 0.3987 0.9005 Ni
0.7997 0.6013 0.0995 Ni
0.0000 0.5000 0.5000 Li
0.0000 0.0000 0.5000 Li
0.1892 0.8946 0.8929 Li
0.6039 0.7016 0.7007 Li
0.3961 0.2984 0.2993 Li
0.8108 0.1054 0.1071 Li
0.4013 0.8028 0.3019 Si
0.5987 0.1972 0.6981 Si
```

***

| no. | calculated volume (Å³/atom) | E_form (uncorrected) (kJ/mol of atoms) | DOS at the Fermi energy (states/eV/cell) |
| --- | --- | --- | --- |
| 1 | 11.65 | -133.6 | 7.26 |
| 2 | 10.95 | -144.9 | 2.33 |
| 3 | 10.71 | -167.9 | 7.01 |
| 4 | 9.99 | -168.7 | 6.92 |
| 5 | 10.47 | -154.1 | 5.90 |
| 6 | 7.85 | -194.9 | 1.80 |